No. 1
# Rb2In2H5

Rb2In2H5 after structural relaxation (PBE, Alexandria).

The structure in extended XYZ format:
```
9
Lattice="3.5259 0.0000 0.0000 -1.7630 7.4634 -0.3695 0.0000 -0.0882 6.8993" Properties=species:S:1:pos:R:3 pbc="T T T"
Rb 1.7630 2.0988 5.0579
Rb 0.0000 5.2765 1.4719
In 1.7630 6.0307 5.0477
In 0.0000 1.3445 1.4821
H 1.7630 4.6522 6.2637
H 0.0000 2.7231 0.2660
H 1.7630 4.9761 3.5523
H 0.0000 2.3992 2.9775
H 0.0000 0.0000 0.0000
```

Its total energy is -2.60 eV per atom.


No. 2
# Al3AsPb

Al3AsPb after structural relaxation (PBE, Alexandria).

The structure in extended XYZ format:
```
5
Lattice="-1.3137 -4.1479 3.0066 2.6520 -3.2063 -3.2646 4.3831 0.6967 2.8763" Properties=species:S:1:pos:R:3 pbc="T T T"
Pb 0.0000 0.0000 0.0000
As 2.8607 -3.3287 1.3092
Al 1.3260 -1.6031 -1.6323
Al 2.1916 0.3484 1.4382
Al -0.6568 -2.0739 1.5033
```

Its total energy is -2.87 eV per atom. For the calculated formation energy, the calculation gives 1.049 eV/atom. The energy relative to the lowest polymorph listed for this composition is 607 meV per atom.


No. 3
# Rb2AgHgCl6

Rb2AgHgCl6 after structural relaxation (PBE, Alexandria).

The structure in extended XYZ format:
```
10
Lattice="7.4425 0.0000 0.0000 0.0000 7.4425 0.0000 3.7212 3.7212 5.2378" Properties=species:S:1:pos:R:3 pbc="T T T"
Rb 7.4425 3.7212 2.6189
Rb 3.7212 7.4425 2.6189
Hg 0.0000 0.0000 0.0000
Ag 3.7212 3.7212 0.0000
Cl 3.7212 3.7212 2.5769
Cl 7.4425 7.4425 2.6609
Cl 1.8710 1.8710 0.0000
Cl 5.5715 5.5715 0.0000
Cl 5.5715 1.8710 0.0000
Cl 1.8710 5.5715 0.0000
```

Its total energy is -2.70 eV per atom. The calculation puts the raw formation energy at -1.079 eV/atom. The energy relative to the lowest polymorph listed for this composition is 12 meV per atom.


No. 4
# CaSm4Dy15

CaSm4Dy15 after structural relaxation (PBE, Alexandria).

The structure in extended XYZ format:
```
20
Lattice="-1.9430 -3.7051 2.8320 3.0370 1.3229 3.8144 -17.7144 15.8647 8.6017" Properties=species:S:1:pos:R:3 pbc="T T T"
Ca 0.0000 0.0000 0.0000
Sm -3.5615 3.1896 1.7294
Sm -7.0942 6.3535 3.4448
Sm -10.6202 9.5112 5.1569
Sm -14.1529 12.6751 6.8723
Dy 0.5470 -1.1911 3.3232
Dy -3.0066 1.9915 5.0487
Dy -6.5431 5.1587 6.7660
Dy -10.0774 8.3239 8.4821
Dy -13.6139 11.4911 10.1993
Dy -2.8091 -0.2068 2.3083
Dy -6.3083 2.9270 4.0074
Dy -9.8287 6.0798 5.7168
Dy -13.3492 9.2327 7.4263
Dy -16.8484 12.3665 9.1254
Dy -0.3191 2.3072 2.7995
Dy -3.8183 5.4410 4.4986
Dy -7.3387 8.5938 6.2080
Dy -10.8592 11.7467 7.9175
Dy -14.3584 14.8805 9.6166
```

Its total energy is -4.46 eV per atom. For the calculated formation energy, the calculation gives 0.038 eV/atom.


No. 5
# LiAcAlNi

LiAcAlNi after structural relaxation (PBE, Alexandria).

The structure in extended XYZ format:
```
4
Lattice="-1.2564 3.2326 -3.3896 -0.2456 -1.3386 -4.6546 -4.3080 -0.3438 -2.2001" Properties=species:S:1:pos:R:3 pbc="T T T"
Ni 0.0000 0.0000 0.0000
Ac -4.3575 1.1627 -7.6833
Al -1.4525 0.3876 -2.5611
Li -2.9050 0.7751 -5.1222
```

Its total energy is -4.01 eV per atom. For the calculated formation energy, the calculation gives -0.124 eV/atom.


No. 6
# AcEuAs

AcEuAs after structural relaxation (PBE, Alexandria).

The structure in extended XYZ format:
```
3
Lattice="5.2288 0.0000 0.0000 2.6144 4.5283 0.0000 2.6144 1.5094 4.2693" Properties=species:S:1:pos:R:3 pbc="T T T"
Eu 5.2288 3.0189 2.1346
Ac 0.0000 0.0000 0.0000
As 2.6144 1.5094 1.0673
```

Its total energy is -7.12 eV per atom. For the calculated formation energy, the calculation gives -0.773 eV/atom. The energy relative to the lowest polymorph listed for this composition is 53 meV per atom.